## PmNd2Zn2 (GGA-PBE)

Data for an optimized crystal structure of PmNd2Zn2.

Properties
N(E_F) ... 11.31 states/eV per cell
Energy relative to the lowest polymorph listed for this composition ... 0.000 eV per atom
Energy of formation from the pure elements ... -0.24 eV/atom
Raw total energy ... -36.04 eV/cell

Cell: 3.726 5.287 13.797 Å, 90.00 97.79 90.00°
Space group P2_1/m (No. 11)
One atom of each set of equivalent atoms:
1 Pm 0.143 0.250 0.283 x2
2 Nd 0.046 0.750 0.092 x2
3 Nd 0.231 0.750 0.464 x2
4 Zn 0.360 0.250 0.722 x2
5 Zn 0.450 0.750 0.901 x2

## Sm3Sn2Hg4 (GGA-PBE)

Data for an optimized crystal structure of Sm3Sn2Hg4.

Properties
N(E_F) ... 6.01 states/eV per cell
Energy of formation from the pure elements ... -0.50 eV/atom
Raw total energy ... -55.74 eV/cell

Cell: 11.825 4.696 9.356 Å, 90.00 111.72 90.00°
Space group C2/m (No. 12)
One atom of each set of equivalent atoms:
1 Sm 0.000 0.000 0.000 x2
2 Sm 0.175 0.500 0.645 x4
3 Sn 0.117 0.500 0.276 x4
4 Hg 0.009 0.000 0.351 x4
5 Hg 0.236 0.000 0.912 x4

## Cs2NaGaI6 (GGA-PBE)

Data for an optimized crystal structure of Cs2NaGaI6.

Properties
N(E_F) ... 0.00 states/eV per cell
E_form (uncorrected) ... -0.9982 eV per atom
Raw total energy ... -101.34 eV/cell

Cell: 12.048 12.048 12.048 Å, 90.00 90.00 90.00°
Space group Fm-3m (No. 225)
One atom of each set of equivalent atoms:
1 Cs 0.250 0.250 0.250 x8
2 Na 0.000 0.000 0.000 x4
3 Ga 0.000 0.000 0.500 x4
4 I 0.000 0.000 0.265 x24

## HoTh2CrC4 (GGA-PBE)

Data for an optimized crystal structure of HoTh2CrC4.

Properties
N(E_F) ... 17.00 states/eV per cell
Energy of formation from the pure elements ... -0.01 eV/atom
Raw total energy ... -264.10 eV/cell

Cell: 3.599 11.836 12.650 Å, 90.00 90.00 90.00°
Space group Cmcm (No. 63)
One atom of each set of equivalent atoms:
1 Ho 0.000 0.109 0.250 x4
2 Th 0.000 0.366 0.045 x8
3 Cr 0.000 0.174 0.750 x4
4 C 0.000 0.000 0.000 x4
5 C 0.000 0.272 0.640 x8
6 C 0.000 0.401 0.250 x4

## NaThSb2 (GGA-PBE)

Data for an optimized crystal structure of NaThSb2.

Properties
N(E_F) ... 12.52 states/eV per cell
E_form (uncorrected) ... -0.4968 eV per atom
Energy relative to the lowest polymorph listed for this composition ... 0.066 eV per atom
Raw total energy ... -75.88 eV/cell

Cell: 7.680 7.680 7.680 Å, 90.00 90.00 90.00°
Space group Fm-3m (No. 225)
One atom of each set of equivalent atoms:
1 Na 0.000 0.000 0.000 x4
2 Th 0.000 0.000 0.500 x4
3 Sb 0.250 0.250 0.250 x8

## Te2HRh (GGA-PBE)

Data for an optimized crystal structure of Te2HRh.

Properties
N(E_F) ... 2.84 states/eV per cell
Energy relative to the lowest polymorph listed for this composition ... 0.000 eV per atom
Raw total energy ... -52.58 eV/cell

Cell: 4.1066 4.1066 19.4330 Å, 90.00 90.00 120.00°
Space group R-3m (No. 166, hexagonal axes)
One atom of each set of equivalent atoms:
1 Te 0.0000 0.0000 0.1018 x6
2 H 0.0000 0.0000 0.0000 x3
3 Rh 0.0000 0.0000 0.5000 x3